A plane-wave DFT calculation with PBE-GGA was carried out for a relaxed structure of CaTa2FeGe.

Cell: 4.9042 4.2744 4.9042 Å, 90.00 90.00 90.00°
With the nearest neighbours (Å) after each atom.
Sites, in units of the cell vectors:
Ge  0.5000  0.5000  0.5000  8 Ta 3.25, 4 Fe 3.47
Ca  0.0000  0.0000  0.0000  2 Fe 2.14
Fe  0.0000  0.5000  0.0000  2 Ca 2.14
Ta  0.0000  0.0000  0.5000  2 Ca 2.45
Ta  0.5000  0.0000  0.0000  2 Ca 2.45

Calculated values
- space group = P4/mmm, No. 123
- calculated formation energy (kcal/mol of atoms) = 53.94
- calculated volume (A^3/atom) = 20.6
- size of the total moment (μB/atom) = 0.2770

=====

A plane-wave DFT calculation with PBE-GGA was carried out for a relaxed structure of La3HgO.

Cell: 3.7361 6.3299 6.3299 Å, 79.82 90.00 90.00°
With the nearest neighbours (Å) after each atom.
Sites, in units of the cell vectors:
Hg  0.5000  0.0784  0.9216  6 La 3.19-3.41
O  0.0000  0.6936  0.3064  5 La 2.41-2.53
La  0.5000  0.5570  0.0973  2 O 2.53
La  0.5000  0.9027  0.4430  2 O 2.53
La  0.0000  0.3964  0.6036  1 O 2.41

Calculated values
- space group = Amm2, No. 38
- excess energy over the best structure of this formula in the dataset (meV/atom) = 272
- calculated volume (A^3/atom) = 29.5
- size of the total moment (μB/atom) = 0.0000

=====

A plane-wave DFT calculation with PBE-GGA was carried out for a relaxed structure of HfTl3Sn.

Cell: 5.6418 5.6418 5.6418 Å, 90.00 90.00 90.00°
With the nearest neighbours (Å) after each atom.
Sites, in units of the cell vectors:
Tl  0.0000  0.5000  0.0000  2 Sn 2.82
Tl  0.0000  0.0000  0.5000  2 Sn 2.82
Tl  0.5000  0.0000  0.0000  2 Sn 2.82
Hf  0.5000  0.5000  0.5000  12 Tl 3.99
Sn  0.0000  0.0000  0.0000  6 Tl 2.82

Calculated values
- space group = Pm-3m, No. 221
- calculated formation energy (kcal/mol of atoms) = 24.68
- excess energy over the best structure of this formula in the dataset (meV/atom) = 463
- calculated volume (A^3/atom) = 35.9
- size of the total moment (μB/atom) = 0.1776

=====

A plane-wave DFT calculation with PBE-GGA was carried out for a relaxed structure of Rb3U3Te8Se.

Cell: 9.2403 8.9433 9.8779 Å, 115.06 90.00 121.10°
With the nearest neighbours (Å) after each atom.
Sites, in units of the cell vectors:
Rb  0.0000  0.0000  0.0000  6 Te 3.65-3.75
Rb  0.0000  0.5000  0.0000  6 Te 3.65-3.74
Rb  0.5000  0.5000  0.0000  6 Te 3.65-3.74
U  0.5000  0.0000  0.5000  6 Te 3.04-3.13
U  0.5000  0.5000  0.5000  6 Te 3.04-3.14
U  0.0000  0.5000  0.5000  6 Te 3.04-3.14
Te  0.2654  0.5307  0.2968  3 U 3.13-3.14
Te  0.7346  0.4693  0.7032  3 U 3.13-3.14
Te  0.7836  0.5673  0.3193  1 Se 2.88, 2 U 3.11
Te  0.2164  0.4327  0.6807  1 Se 2.88, 2 U 3.11
Te  0.7458  0.0469  0.2937  2 U 3.04
Te  0.2542  0.9531  0.7063  2 U 3.04
Te  0.3011  0.0469  0.2937  2 U 3.04
Te  0.6989  0.9531  0.7063  2 U 3.04
Se  0.0000  0.0000  0.5000  2 Te 2.88

Calculated values
- space group = C2/m, No. 12
- uncorrected energy (eV for the cell shown) = -74.8
- calculated volume (A^3/atom) = 40.5
- size of the total moment (μB/atom) = 0.4973

=====

A plane-wave DFT calculation with PBE-GGA was carried out for a relaxed structure of Ba8P3I4Cl.

Cell: 9.4763 9.9192 9.4759 Å, 118.55 120.00 90.00°
With the nearest neighbours (Å) after each atom.
Sites, in units of the cell vectors:
Ba  0.2426  0.7067  0.9641  2 P 3.18, 1 Cl 3.32
Ba  0.2427  0.7068  0.4854  2 P 3.18, 1 Cl 3.33
Ba  0.2651  0.2954  0.5302  3 P 3.22
Ba  0.7215  0.7067  0.9641  2 P 3.18, 1 Cl 3.32
Ba  0.2785  0.2933  0.0359  2 P 3.18, 1 Cl 3.32
Ba  0.7349  0.7046  0.4698  3 P 3.22
Ba  0.7573  0.2932  0.5146  2 P 3.18, 1 Cl 3.33
Ba  0.7574  0.2933  0.0359  2 P 3.18, 1 Cl 3.32
P  0.5000  0.5000  0.0000  6 Ba 3.18-3.22
P  0.5000  0.5000  0.5000  6 Ba 3.18-3.22
P  0.0000  0.5000  0.5000  6 Ba 3.18-3.22
I  0.5000  0.0000  0.0000  6 Ba 3.57
I  0.5000  0.0000  0.5000  6 Ba 3.67-3.70
I  0.0000  0.0000  0.0000  6 Ba 3.67-3.70
I  0.0000  0.0000  0.5000  6 Ba 3.67-3.70
Cl  0.0000  0.5000  0.0000  6 Ba 3.32-3.33

Calculated values
- space group = R-3m, No. 166
- uncorrected energy (eV for the cell shown) = -63.3
- calculated volume (A^3/atom) = 40.2
- size of the total moment (μB/atom) = 0.0000

=====

A plane-wave DFT calculation with PBE-GGA was carried out for a relaxed structure of Ba4Zn3Au.

Cell: 4.7983 4.8739 12.2258 Å, 90.00 90.00 90.00°
With the nearest neighbours (Å) after each atom.
Sites, in units of the cell vectors:
Zn  0.0000  0.5000  0.5533  2 Zn 2.78
Zn  0.0000  0.0000  0.4432  2 Zn 2.78
Zn  0.5000  0.0000  0.9437  2 Au 2.82
Au  0.5000  0.5000  0.0590  2 Zn 2.82
Ba  0.5000  0.5000  0.3537  6 Zn 3.42-3.59, 1 Au 3.60
Ba  0.0000  0.5000  0.8619  2 Au 3.40, 5 Zn 3.56-3.77
Ba  0.0000  0.0000  0.1422  3 Zn 3.41-3.68, 4 Au 3.57
Ba  0.5000  0.0000  0.6428  7 Zn 3.42-3.68

Calculated values
- space group = Pmm2, No. 25
- calculated formation energy (kcal/mol of atoms) = -7.00
- calculated volume (A^3/atom) = 35.7
- size of the total moment (μB/atom) = 0.0000

=====

A plane-wave DFT calculation with PBE-GGA was carried out for a relaxed structure of K2BaMo.

Cell: 13.5064 13.5064 13.5064 Å, 16.85 16.85 16.85°
With the nearest neighbours (Å) after each atom.
Sites, in units of the cell vectors:
Ba  0.7706  0.7706  0.7706  3 Mo 3.28
K  0.0023  0.0023  0.0023  6 K 3.96
K  0.2309  0.2309  0.2309  3 Mo 3.55, 6 K 3.96
Mo  0.4963  0.4963  0.4963  3 Ba 3.28, 3 K 3.55

Calculated values
- space group = R3m, No. 160
- calculated formation energy (kcal/mol of atoms) = 24.84
- excess energy over the best structure of this formula in the dataset (meV/atom) = 95
- calculated volume (A^3/atom) = 45.1
- size of the total moment (μB/atom) = 0.6473

=====

A plane-wave DFT calculation with PBE-GGA was carried out for a relaxed structure of AlZn6Ga2.

Cell: 2.7808 7.2281 10.2381 Å, 134.93 88.72 85.99°
With the nearest neighbours (Å) after each atom.
Sites, in units of the cell vectors:
Al  0.0000  0.0000  0.0000  6 Zn 2.70-2.92, 2 Al 2.78, 2 Ga 2.82
Zn  0.8565  0.5538  0.2315  7 Zn 2.64-2.90, 2 Ga 2.72-2.81, 1 Al 2.85
Zn  0.1435  0.4462  0.7685  7 Zn 2.64-2.90, 2 Ga 2.72-2.81, 1 Al 2.85
Zn  0.6681  0.6641  0.6627  8 Zn 2.62-2.90, 2 Al 2.70-2.92, 1 Ga 2.90
Zn  0.7689  0.1114  0.4480  9 Zn 2.64-2.94, 2 Ga 2.67-2.93
Zn  0.2311  0.8886  0.5520  9 Zn 2.64-2.94, 2 Ga 2.67-2.93
Zn  0.3319  0.3359  0.3373  8 Zn 2.62-2.90, 2 Al 2.70-2.92, 1 Ga 2.90
Ga  0.4538  0.7759  0.1122  5 Zn 2.67-2.93, 3 Ga 2.78-2.85, 1 Al 2.82
Ga  0.5462  0.2241  0.8878  5 Zn 2.67-2.93, 3 Ga 2.78-2.85, 1 Al 2.82

Calculated values
- space group = P-1, No. 2
- calculated formation energy (kcal/mol of atoms) = 0.51
- excess energy over the best structure of this formula in the dataset (meV/atom) = 0
- calculated volume (A^3/atom) = 16.1
- size of the total moment (μB/atom) = 0.0000

=====

Which value of size of the total moment does entry 7 give?
0.6473 μB/atom

=====

Which value of size of the total moment does entry 1 give?
0.2770 μB/atom